# 1
Rb3NaTl2I6: relaxed, PBE-GGA.

Cell lengths 8.8277, 8.8277, 8.8042 Å; angles 99.66, 99.66, 120.00 degrees
Sites, in units of the cell vectors:
Rb (0.0000, 0.0000, 0.0000)
Rb (0.3285, 0.6715, 0.0000)
Rb (0.6715, 0.3285, 0.0000)
Na (0.5000, 0.5000, 0.5000)
Tl (0.1651, 0.8349, 0.5000)
Tl (0.8349, 0.1651, 0.5000)
I (0.1057, 0.4240, 0.2711)
I (0.2600, 0.2600, 0.7308)
I (0.4240, 0.1057, 0.2711)
I (0.5760, 0.8943, 0.7289)
I (0.7400, 0.7400, 0.2692)
I (0.8943, 0.5760, 0.7289)

- magnetization (Bohr magnetons per cell) = 0.00
- space group = No. 12
- formation energy without anion corrections (eV/atom) = -1.17

=====

# 2
RbNaTl2I4: relaxed, PBE-GGA.

Cell lengths 8.6760, 4.9852, 8.6800 Å; angles 90.00, 109.26, 90.00 degrees
Sites, in units of the cell vectors:
Rb (0.0000, 0.0000, 0.0000)
Na (0.5000, 0.5000, 0.0000)
Tl (0.0000, 0.5000, 0.5000)
Tl (0.5000, 0.0000, 0.5000)
I (0.2680, 0.0000, 0.7613)
I (0.2675, 0.5000, 0.2461)
I (0.7320, 0.0000, 0.2387)
I (0.7325, 0.5000, 0.7539)

- magnetization (Bohr magnetons per cell) = 0.00
- space group = No. 10
- formation energy without anion corrections (eV/atom) = -1.00

=====

# 3
Rb4NaTl3I8: relaxed, PBE-GGA.

Cell lengths 10.2146, 10.2146, 10.2146 Å; angles 60.05, 60.05, 60.05 degrees
Sites, in units of the cell vectors:
Rb (0.0000, 0.0000, 0.0000)
Rb (0.0000, 0.5000, 0.5000)
Rb (0.5000, 0.0000, 0.5000)
Rb (0.5000, 0.5000, 0.0000)
Na (0.5000, 0.5000, 0.5000)
Tl (0.0000, 0.0000, 0.5000)
Tl (0.0000, 0.5000, 0.0000)
Tl (0.5000, 0.0000, 0.0000)
I (0.2463, 0.2463, 0.2463)
I (0.2552, 0.7374, 0.7374)
I (0.2626, 0.2626, 0.7448)
I (0.2626, 0.7448, 0.2626)
I (0.7374, 0.2552, 0.7374)
I (0.7374, 0.7374, 0.2552)
I (0.7448, 0.2626, 0.2626)
I (0.7537, 0.7537, 0.7537)

- magnetization (Bohr magnetons per cell) = 0.00
- space group = No. 166
- formation energy without anion corrections (eV/atom) = -1.14

=====

# 4
RbNa2TlI4: relaxed, PBE-GGA.

Cell lengths 8.3873, 4.8420, 8.5783 Å; angles 90.00, 109.03, 90.00 degrees
Sites, in units of the cell vectors:
Rb (0.0000, 0.0000, 0.0000)
Na (0.0000, 0.5000, 0.5000)
Na (0.5000, 0.0000, 0.5000)
Tl (0.5000, 0.5000, 0.0000)
I (0.2459, 0.0000, 0.7215)
I (0.2661, 0.5000, 0.2819)
I (0.7339, 0.5000, 0.7181)
I (0.7541, 0.0000, 0.2785)

- magnetization (Bohr magnetons per cell) = 0.00
- space group = No. 10
- formation energy without anion corrections (eV/atom) = -1.16

=====

# 5
Rb2Na3TlI6: relaxed, PBE-GGA.

Cell lengths 11.0258, 11.0258, 9.8953 Å; angles 104.28, 104.28, 25.49 degrees
Sites, in units of the cell vectors:
Rb (0.1658, 0.1658, 0.3287)
Rb (0.8342, 0.8342, 0.6713)
Na (0.1661, 0.1661, 0.8325)
Na (0.5000, 0.5000, 0.5000)
Na (0.8339, 0.8339, 0.1675)
Tl (0.5000, 0.5000, 0.0000)
I (0.0079, 0.0079, 0.7389)
I (0.3284, 0.3284, 0.9408)
I (0.3417, 0.3417, 0.3990)
I (0.6583, 0.6583, 0.6010)
I (0.6716, 0.6716, 0.0592)
I (0.9921, 0.9921, 0.2611)

- magnetization (Bohr magnetons per cell) = 0.00
- space group = No. 12
- formation energy without anion corrections (eV/atom) = -1.22

=====

# 6
Rb2NaTmI6: relaxed, PBE-GGA.

Cell lengths 8.3974, 8.7964, 14.6306 Å; angles 90.00, 124.58, 90.00 degrees
Sites, in units of the cell vectors:
Rb (0.2239, 0.0757, 0.2495)
Rb (0.2239, 0.4243, 0.7495)
Rb (0.7761, 0.5757, 0.2505)
Rb (0.7761, 0.9243, 0.7505)
Na (0.0000, 0.0000, 0.5000)
Na (0.0000, 0.5000, 0.0000)
Tm (0.5000, 0.0000, 0.0000)
Tm (0.5000, 0.5000, 0.5000)
I (0.1629, 0.1888, 0.9552)
I (0.1629, 0.3112, 0.4552)
I (0.2714, 0.7121, 0.9566)
I (0.2714, 0.7879, 0.4566)
I (0.3487, 0.0146, 0.7584)
I (0.3487, 0.4854, 0.2584)
I (0.6513, 0.5146, 0.7416)
I (0.6513, 0.9854, 0.2416)
I (0.7286, 0.2121, 0.5434)
I (0.7286, 0.2879, 0.0434)
I (0.8371, 0.6888, 0.5448)
I (0.8371, 0.8112, 0.0448)

- magnetization (Bohr magnetons per cell) = 0.00
- space group = No. 14
- formation energy without anion corrections (eV/atom) = -1.41

=====

# 7
RbNa2UI8: relaxed, PBE-GGA.

Cell lengths 7.2487, 8.6424, 10.8024 Å; angles 111.92, 93.64, 99.24 degrees
Sites, in units of the cell vectors:
Rb (0.0000, 0.0000, 0.0000)
Na (0.4541, 0.3264, 0.8156)
Na (0.5459, 0.6736, 0.1844)
U (0.0000, 0.0000, 0.5000)
I (0.1171, 0.7710, 0.2485)
I (0.2612, 0.9061, 0.6654)
I (0.2883, 0.2849, 0.5111)
I (0.4547, 0.2878, 0.0842)
I (0.5453, 0.7122, 0.9158)
I (0.7117, 0.7151, 0.4889)
I (0.7388, 0.0939, 0.3346)
I (0.8829, 0.2290, 0.7515)

- magnetization (Bohr magnetons per cell) = 0.91
- space group = No. 2
- formation energy without anion corrections (eV/atom) = -1.01

=====

# 8
RbNaUI6: relaxed, PBE-GGA.

Cell lengths 8.1348, 8.1348, 16.1031 Å; angles 90.00, 90.00, 120.00 degrees
Sites, in units of the cell vectors:
Rb (0.0000, 0.0000, 0.0000)
Rb (0.0000, 0.0000, 0.5000)
Na (0.3333, 0.6667, 0.2500)
Na (0.6667, 0.3333, 0.7500)
U (0.3333, 0.6667, 0.7500)
U (0.6667, 0.3333, 0.2500)
I (0.0218, 0.3777, 0.6394)
I (0.0218, 0.6441, 0.8606)
I (0.3559, 0.3777, 0.8606)
I (0.3559, 0.9782, 0.6394)
I (0.3777, 0.0218, 0.1394)
I (0.3777, 0.3559, 0.3606)
I (0.6223, 0.6441, 0.6394)
I (0.6223, 0.9782, 0.8606)
I (0.6441, 0.0218, 0.3606)
I (0.6441, 0.6223, 0.1394)
I (0.9782, 0.3559, 0.1394)
I (0.9782, 0.6223, 0.3606)

- magnetization (Bohr magnetons per cell) = 4.00
- space group = No. 163
- formation energy without anion corrections (eV/atom) = -1.08

=====

> Number 6 is which compound?

Rb2NaTmI6